This record from Alexandria describes CaNdMgAg after structural relaxation. The functional is GGA-PBE.

a b c (Å): 5.3901 5.3901 5.3901
angles (deg): 60.00 60.00 60.00
Atoms (fractional coordinates):
Ag (0.7500, 0.7500, 0.7500)
Mg (0.2500, 0.2500, 0.2500)
Ca (0.0000, 0.0000, 0.0000)
Nd (0.5000, 0.5000, 0.5000)

## Properties
E_tot	-2.963	eV per atom
energy relative to the elements	-0.6	eV/f.u.
E above lowest polymorph	0.028	eV/atom



This record from Alexandria describes CaMg2NiAg after structural relaxation. The functional is GGA-PBE.

a b c (Å): 5.8941 5.3036 5.8941
angles (deg): 90.00 90.00 90.00
Atoms (fractional coordinates):
Ca (0.0000, 0.0000, 0.0000)
Mg (0.0000, 0.0000, 0.5000)
Mg (0.5000, 0.0000, 0.0000)
Ag (0.0000, 0.5000, 0.0000)
Ni (0.5000, 0.5000, 0.5000)

## Properties
E_tot	-1.341	eV per atom
energy relative to the elements	7.1	eV/f.u.



This record from Alexandria describes CaMgNiAg after structural relaxation. The functional is GGA-PBE.

a b c (Å): 4.8153 4.8153 4.8153
angles (deg): 60.00 60.00 60.00
Atoms (fractional coordinates):
Ni (0.2500, 0.2500, 0.2500)
Ca (0.5000, 0.5000, 0.5000)
Ag (0.7500, 0.7500, 0.7500)
Mg (0.0000, 0.0000, 0.0000)

## Properties
E_tot	-3.155	eV per atom
energy relative to the elements	-0.4	eV/f.u.



This record from Alexandria describes CaMg2AgO4 after structural relaxation. The functional is GGA-PBE.

a b c (Å): 3.0758 5.8922 11.4641
angles (deg): 90.00 90.00 105.13
Each line ends with the local moment (μB).
Atoms (fractional coordinates):
Ag (0.9224, 0.8448, 0.7500)  0.29
Ag (0.0776, 0.1552, 0.2500)  0.29
Mg (0.6300, 0.2601, 0.4840)  0.00
Mg (0.6300, 0.2601, 0.0160)  0.00
Mg (0.3700, 0.7399, 0.9840)  0.00
Mg (0.3700, 0.7399, 0.5160)  0.00
O (0.0000, 0.0000, 0.5000)  0.13
O (0.5499, 0.0998, 0.7500)  0.36
O (0.7710, 0.5420, 0.8930)  0.07
O (0.2290, 0.4580, 0.3930)  0.07
O (0.2290, 0.4580, 0.1070)  0.07
O (0.7710, 0.5420, 0.6070)  0.07
O (0.4501, 0.9002, 0.2500)  0.36
O (0.0000, 0.0000, 0.0000)  0.13
Ca (0.1926, 0.3853, 0.7500)  0.01
Ca (0.8074, 0.6147, 0.2500)  0.01

## Properties
E_tot	-5.309	eV per atom



This record from Alexandria describes Ca2MgAgO after structural relaxation. The functional is GGA-PBE.

a b c (Å): 4.8255 4.8255 4.4027
angles (deg): 90.00 90.00 90.00
Atoms (fractional coordinates):
O (0.0000, 0.0000, 0.0000)
Ca (0.5000, 0.0000, 0.0000)
Ca (0.0000, 0.5000, 0.0000)
Ag (0.5000, 0.5000, 0.5000)
Mg (0.0000, 0.0000, 0.5000)

## Properties
E_tot	-3.835	eV per atom



This record from Alexandria describes CaMgAgPb after structural relaxation. The functional is GGA-PBE.

a b c (Å): 5.1778 5.1778 5.1778
angles (deg): 60.00 60.00 60.00
Atoms (fractional coordinates):
Ag (0.2500, 0.2500, 0.2500)
Ca (0.0000, 0.0000, 0.0000)
Pb (0.7500, 0.7500, 0.7500)
Mg (0.5000, 0.5000, 0.5000)

## Properties
E_tot	-2.821	eV per atom
energy relative to the elements	-1.1	eV/f.u.



This record from Alexandria describes CaMg2Ag2Pb2 after structural relaxation. The functional is GGA-PBE.

a b c (Å): 4.8009 4.8009 8.9374
angles (deg): 74.42 74.42 60.00
Atoms (fractional coordinates):
Ca (0.0000, 0.0000, 0.0000)
Ag (0.5576, 0.5576, 0.3272)
Ag (0.4424, 0.4424, 0.6728)
Mg (0.8615, 0.8615, 0.4156)
Mg (0.1385, 0.1385, 0.5844)
Pb (0.7366, 0.7366, 0.7903)
Pb (0.2634, 0.2634, 0.2097)

## Properties
E_tot	-2.836	eV per atom
energy relative to the elements	-1.5	eV/f.u.



This record from Alexandria describes CaPmMgAg after structural relaxation. The functional is GGA-PBE.

a b c (Å): 5.3701 5.3701 5.3701
angles (deg): 60.00 60.00 60.00
Atoms (fractional coordinates):
Ca (0.0000, 0.0000, 0.0000)
Mg (0.2500, 0.2500, 0.2500)
Ag (0.7500, 0.7500, 0.7500)
Pm (0.5000, 0.5000, 0.5000)

## Properties
E_tot	-2.954	eV per atom
energy relative to the elements	-0.6	eV/f.u.
E above lowest polymorph	0.034	eV/atom



This record from Alexandria describes CaPmMgAg after structural relaxation. The functional is GGA-PBE.

a b c (Å): 3.7933 3.7933 7.6996
angles (deg): 90.00 90.00 90.00
Each line ends with the local moment (μB).
Atoms (fractional coordinates):
Ag (0.5000, 0.5000, 0.6135)  0.01
Mg (0.5000, 0.5000, 0.1006)  0.01
Pm (0.0000, 0.0000, 0.8412)  0.13
Ca (0.0000, 0.0000, 0.3727)  0.00

## Properties
E_tot	-2.988	eV per atom
energy relative to the elements	-0.8	eV/f.u.
E above lowest polymorph	0.000	eV/atom



This record from Alexandria describes CaMgAgRh after structural relaxation. The functional is GGA-PBE.

a b c (Å): 4.7961 4.7961 4.7961
angles (deg): 60.00 60.00 60.00
Atoms (fractional coordinates):
Ag (0.2500, 0.2500, 0.2500)
Ca (0.0000, 0.0000, 0.0000)
Rh (0.7500, 0.7500, 0.7500)
Mg (0.5000, 0.5000, 0.5000)

## Properties
E_tot	-3.739	eV per atom
energy relative to the elements	-1.2	eV/f.u.



This record from Alexandria describes CaSmMgAg after structural relaxation. The functional is GGA-PBE.

a b c (Å): 3.7836 3.7836 7.6887
angles (deg): 90.00 90.00 90.00
Each line ends with the local moment (μB).
Atoms (fractional coordinates):
Mg (0.5000, 0.5000, 0.0987)  0.01
Ca (0.0000, 0.0000, 0.3726)  0.00
Sm (0.0000, 0.0000, 0.8404)  0.11
Ag (0.5000, 0.5000, 0.6164)  0.01

## Properties
E_tot	-2.980	eV per atom
energy relative to the elements	-0.8	eV/f.u.
E above lowest polymorph	0.000	eV/atom



This record from Alexandria describes CaSmMgAg after structural relaxation. The functional is GGA-PBE.

a b c (Å): 5.3565 5.3565 5.3565
angles (deg): 60.00 60.00 60.00
Atoms (fractional coordinates):
Mg (0.7500, 0.7500, 0.7500)
Sm (0.0000, 0.0000, 0.0000)
Ca (0.5000, 0.5000, 0.5000)
Ag (0.2500, 0.2500, 0.2500)

## Properties
E_tot	-2.942	eV per atom
energy relative to the elements	-0.6	eV/f.u.
E above lowest polymorph	0.038	eV/atom